DFT (PBE+U) results for a relaxed CaLaTaFeO6 crystal.

Unit cell a=5.6204 b=5.8199 c=7.8979 alpha=90.00 beta=90.75 gamma=90.00
Site moments in Bohr magnetons follow the coordinates.
Sites, in units of the cell vectors:
O: 0.2126 0.0577 0.0493  0.02
O: 0.8980 0.7207 0.2557  0.03
O: 0.0973 0.7847 0.7444  0.02
O: 0.7892 0.4348 0.9510  0.02
O: 0.3980 0.2793 0.7557  0.03
O: 0.8161 0.4661 0.5533  0.02
O: 0.3161 0.5339 0.0533  0.02
O: 0.6880 0.9620 0.9478  0.02
O: 0.7126 0.9423 0.5493  0.02
O: 0.5973 0.2153 0.2444  0.02
O: 0.2892 0.5652 0.4510  0.02
O: 0.1880 0.0380 0.4478  0.02
Ta: 0.9998 0.7547 0.4986  0.03
Ta: 0.4998 0.2453 0.9986  0.03
Ca: 0.4853 0.8065 0.2520  0.00
Ca: 0.9853 0.1935 0.7520  0.00
Fe: 0.9998 0.7501 0.0003  3.76
Fe: 0.4998 0.2499 0.5003  3.76
La: 0.0138 0.3047 0.2474  0.00
La: 0.5138 0.6953 0.7474  0.00

Computed properties:
The density comes out at 6580 kg/m³. Its final energy is -8.27 eV/atom. Its space-group type is Pc (7).